# 1
The following is a DFT calculation (PBE) of Gd2ThOs after structural relaxation.

Calculated values
The calculation puts the relative energy among the computed polymorphs at 0 kJ/mol of formula units. Its formation energy is -11 meV/atom. Its space group is P4/mmm.

Unit cell a=3.4556 b=3.4556 c=9.0139 alpha=90.00 beta=90.00 gamma=90.00
Positions (direct):
Gd1 0.0000 0.0000 0.1853
Gd2 0.0000 0.0000 0.8147
Th1 0.5000 0.5000 0.5000
Os1 0.5000 0.5000 0.0000



# 2
The following is a DFT calculation (PBE) of NpTl2InO6 after structural relaxation.

Calculated values
The raw formation energy comes out at -166.4 kJ per mole of atoms. Its space group is Fm-3m.

Unit cell a=6.0372 b=6.0372 c=6.0372 alpha=60.00 beta=60.00 gamma=60.00
Positions (direct):
Np1 0.0000 0.0000 0.0000
Tl1 0.2500 0.2500 0.2500
Tl2 0.7500 0.7500 0.7500
In1 0.5000 0.5000 0.5000
O1 0.2394 0.2394 0.7606
O2 0.2394 0.7606 0.2394
O3 0.2394 0.7606 0.7606
O4 0.7606 0.2394 0.2394
O5 0.7606 0.2394 0.7606
O6 0.7606 0.7606 0.2394



# 3
The following is a DFT calculation (PBE) of Sr2ScAgO5 after structural relaxation.

Calculated values
The raw formation energy comes out at -207.4 kJ per mole of atoms. Its space group is Cmc2_1.

Unit cell a=6.9345 b=6.9345 c=11.4397 alpha=90.00 beta=90.00 gamma=151.62
Positions (direct):
Sr1 0.0888 0.9112 0.5000
Sr2 0.1493 0.8507 0.1239
Sr3 0.8507 0.1493 0.6239
Sr4 0.9112 0.0888 0.0000
Sc1 0.2150 0.7850 0.8551
Sc2 0.7850 0.2150 0.3551
Ag1 0.4712 0.5288 0.2752
Ag2 0.5288 0.4712 0.7752
O1 0.0714 0.9286 0.9029
O2 0.2661 0.7339 0.4730
O3 0.3190 0.6810 0.2319
O4 0.3754 0.6246 0.8173
O5 0.4865 0.5135 0.6024
O6 0.5135 0.4865 0.1024
O7 0.6246 0.3754 0.3173
O8 0.6810 0.3190 0.7319
O9 0.7339 0.2661 0.9730
O10 0.9286 0.0714 0.4029



# 4
The following is a DFT calculation (PBE) of RbN2Cl6 after structural relaxation.

Calculated values
The raw formation energy comes out at 75.7 kJ per mole of atoms. Its space group is C2/m.

Unit cell a=7.3788 b=7.3788 c=7.1017 alpha=93.26 beta=93.26 gamma=81.20
Positions (direct):
Rb1 0.0000 0.0000 0.0000
N1 0.3310 0.3310 0.5200
N2 0.6690 0.6690 0.4800
Cl1 0.1042 0.8958 0.5000
Cl2 0.1421 0.3956 0.0021
Cl3 0.3956 0.1421 0.0021
Cl4 0.6044 0.8579 0.9979
Cl5 0.8579 0.6044 0.9979
Cl6 0.8958 0.1042 0.5000



# 5
The following is a DFT calculation (PBE) of Ca2Sc2Bi2Se after structural relaxation.

Calculated values
The raw formation energy comes out at -86.9 kJ per mole of atoms. Its space group is I4/mmm.

Unit cell a=8.9572 b=8.9572 c=8.9572 alpha=147.38 beta=147.38 gamma=46.81
Positions (direct):
Ca1 0.1747 0.1747 0.0000
Ca2 0.8253 0.8253 0.0000
Sc1 0.0000 0.5000 0.5000
Sc2 0.5000 0.0000 0.5000
Bi1 0.3711 0.3711 0.0000
Bi2 0.6289 0.6289 0.0000
Se1 0.0000 0.0000 0.0000



# 6
The following is a DFT calculation (PBE) of PmTm8In6 after structural relaxation.

Calculated values
Its formation energy is -187 meV/atom. Its space group is R-3.

Unit cell a=8.2607 b=8.2607 c=8.2607 alpha=65.80 beta=65.80 gamma=65.80
Positions (direct):
Pm1 0.0000 0.0000 0.0000
Tm1 0.1136 0.4455 0.7797
Tm2 0.2203 0.8864 0.5545
Tm3 0.3328 0.3328 0.3328
Tm4 0.4455 0.7797 0.1136
Tm5 0.5545 0.2203 0.8864
Tm6 0.6672 0.6672 0.6672
Tm7 0.7797 0.1136 0.4455
Tm8 0.8864 0.5545 0.2203
In1 0.0609 0.7220 0.3996
In2 0.2780 0.6004 0.9391
In3 0.3996 0.0609 0.7220
In4 0.6004 0.9391 0.2780
In5 0.7220 0.3996 0.0609
In6 0.9391 0.2780 0.6004



# 7
The following is a DFT calculation (PBE) of La2HoEr after structural relaxation.

Calculated values
The calculation puts the relative energy among the computed polymorphs at 5 kJ/mol of formula units. Its formation energy is 27 meV/atom. Its space group is Cmmm.

Unit cell a=6.1698 b=6.1698 c=3.7095 alpha=90.00 beta=90.00 gamma=106.42
Positions (direct):
La1 0.0000 0.5000 0.0000
La2 0.5000 0.0000 0.0000
Ho1 0.0000 0.0000 0.5000
Er1 0.5000 0.5000 0.5000



# 8
The following is a DFT calculation (PBE) of TbSm6Tm3Sc2 after structural relaxation.

Calculated values
Its formation energy is 35 meV/atom. Its space group is C2/m.

Unit cell a=6.1267 b=6.1267 c=11.5609 alpha=95.05 beta=95.05 gamma=119.97
Positions (direct):
Tb1 0.0000 0.0000 0.0000
Sm1 0.0826 0.4188 0.2463
Sm2 0.2535 0.2535 0.7535
Sm3 0.4188 0.0826 0.2463
Sm4 0.5812 0.9174 0.7537
Sm5 0.7465 0.7465 0.2465
Sm6 0.9174 0.5812 0.7537
Tm1 0.1668 0.8332 0.5000
Tm2 0.5000 0.5000 0.5000
Tm3 0.8332 0.1668 0.5000
Sc1 0.3335 0.6665 0.0000
Sc2 0.6665 0.3335 0.0000



no.,raw total energy (eV/atom)
1,-11.714
2,-6.740
3,-6.298
4,-2.404
5,-4.888
6,-3.984
7,-4.722
8,-4.883